Record 1
Below is TiIn2SnOs after structural relaxation, with properties calculated at the GGA-PBE level.

Cell and atoms, written as extended XYZ:
```
5
Lattice="5.234 0.000 0.000 0.000 4.668 0.000 0.000 0.000 5.234" Properties=species:S:1:pos:R:3 pbc="T T T"
Ti 0.000 2.334 0.000
Os 0.000 0.000 0.000
Sn 2.617 2.334 2.617
In 0.000 0.000 2.617
In 2.617 0.000 0.000
```

energy	-5.332	eV/atom
SG	P4/mmm (123)

Record 2
Below is LiZn2Rh after structural relaxation, with properties calculated at the GGA-PBE level.

Cell and atoms, written as extended XYZ:
```
8
Lattice="-0.759 3.587 -0.141 -3.540 -0.725 0.637 -0.708 2.080 9.003" Properties=species:S:1:pos:R:3 pbc="T T T"
Zn -1.100 2.698 2.241
Zn -2.479 0.488 2.632
Zn -2.116 2.639 6.934
Zn -4.320 4.059 7.191
Rh 0.000 0.000 0.000
Rh -1.808 3.549 4.555
Li -2.150 1.431 0.248
Li -3.199 1.393 4.944
```

energy	-2.952	eV/atom
distance to the lowest polymorph of the same formula	0.4119	eV per atom
SG	I-42d (122)

Record 3
Below is Li8CdAu2 after structural relaxation, with properties calculated at the GGA-PBE level.

Cell and atoms, written as extended XYZ:
```
11
Lattice="-0.504 3.681 2.105 -5.464 1.932 -4.686 -1.066 -5.440 4.928" Properties=species:S:1:pos:R:3 pbc="T T T"
Li -5.419 2.373 -1.116
Li -3.907 -1.390 1.496
Li -1.222 -0.794 1.097
Li -1.743 0.616 -1.495
Li -5.812 0.967 1.249
Li -3.127 1.563 0.849
Li -1.615 -2.201 3.462
Li -5.291 -0.444 3.841
Cd -0.252 1.840 1.052
Au -4.380 -0.106 -0.864
Au -2.654 0.278 3.209
```

energy	-2.387	eV/atom
distance to the lowest polymorph of the same formula	0.0000	eV per atom
SG	Immm (71)

no.,E_form (eV/atom)
1,0.39
2,0.00
3,-0.32